The following is a PBE-GGA calculation of a relaxed ZnFe2B crystal, from Alexandria via LeMat-Bulk.

The structure in CIF format:
```
data_ZnFe2B
_chemical_formula_sum 'Zn4 Fe8 B4'
_cell_length_a 5.4303
_cell_length_b 5.4303
_cell_length_c 5.4303
_cell_angle_alpha 90.00
_cell_angle_beta 90.00
_cell_angle_gamma 90.00
_space_group_name_H-M_alt 'F m -3 m'
_space_group_IT_number 225
_space_group_name_Hall '-F 4 2 3'
loop_
_atom_site_label
_atom_site_type_symbol
_atom_site_fract_x
_atom_site_fract_y
_atom_site_fract_z
_atom_site_occupancy
Zn1 Zn 0.0000 0.0000 0.0000 1
Fe1 Fe 0.2500 0.2500 0.2500 1
B1 B 0.0000 0.0000 0.5000 1
```

Summary:
Formation energy from the elements = 0.32 eV per atom
Mass density = 7.79 g cm⁻³
Crystal system = cubic
M_tot = 10.05 Bohr magnetons per cell
Distance to the lowest polymorph of the same formula = 0.390 eV/atom
DFT total energy = -94.36 eV for the cell shown